The following is a GGA-PBE calculation of an optimized crystal structure of CaTeP2O, from the Alexandria database.

POSCAR file:
```
CaTeP2O
1.0
5.3850 0.0000 0.0000
0.0000 5.3850 0.0000
0.0000 0.0000 4.0870
Ca Te P O
1 1 2 1
Cartesian
0.0000 0.0000 0.0000 Ca
2.6925 2.6925 2.0435 Te
0.0000 2.6925 0.0000 P
2.6925 0.0000 0.0000 P
0.0000 0.0000 2.0435 O
```

As for the energy above the most stable polymorph in this dataset: 570 meV/atom. The calculation puts the formation energy (no corrections) at 42 kJ/mol of atoms.



The following is a GGA-PBE calculation of an optimized crystal structure of AlMoAs2, from the Alexandria database.

POSCAR file:
```
AlMoAs2
1.0
1.7123 0.9886 6.9223
-1.7123 0.9886 6.9223
0.0000 -1.9772 6.9223
Al Mo As
1 1 2
Cartesian
0.0000 0.0000 0.0000 Al
0.0000 0.0000 10.3834 Mo
0.0000 0.0000 5.1535 As
0.0000 0.0000 15.6134 As
```

As for the formation energy: -0.054 eV/atom.



The following is a GGA-PBE calculation of an optimized crystal structure of HgPbI2, from the Alexandria database.

POSCAR file:
```
HgPbI2
1.0
0.0000 4.1166 4.1166
4.1166 0.0000 4.1166
4.1166 4.1166 0.0000
Hg Pb I
1 1 2
Cartesian
0.0000 0.0000 0.0000 Hg
4.1166 4.1166 4.1166 Pb
2.0583 2.0583 2.0583 I
6.1749 6.1749 6.1749 I
```

As for the energy above the most stable polymorph in this dataset: 191 meV/atom. The calculation puts the formation energy (no corrections) at -26 kJ/mol of atoms.



The following is a GGA-PBE calculation of an optimized crystal structure of Ta2CoHIr, from the Alexandria database.

POSCAR file:
```
Ta2CoHIr
1.0
4.0439 0.0000 0.0000
0.0000 4.0439 0.0000
0.0000 0.0000 3.8780
Ta Co H Ir
2 1 1 1
Cartesian
0.0000 2.0220 0.0000 Ta
2.0220 0.0000 0.0000 Ta
0.0000 0.0000 1.9390 Co
2.0220 2.0220 0.0000 H
2.0220 2.0220 1.9390 Ir
```

As for the energy above the most stable polymorph in this dataset: 117 meV/atom.



The following is a GGA-PBE calculation of an optimized crystal structure of NdYEr2, from the Alexandria database.

POSCAR file:
```
NdYEr2
1.0
5.0496 0.0000 0.0000
0.0000 5.0496 0.0000
0.0000 0.0000 5.0334
Nd Y Er
1 1 2
Cartesian
0.0000 0.0000 0.0000 Nd
2.5248 2.5248 0.0000 Y
0.0000 2.5248 2.5167 Er
2.5248 0.0000 2.5167 Er
```

As for the energy above the most stable polymorph in this dataset: 17 meV/atom. As for the formation energy: 0.025 eV/atom.



The following is a GGA-PBE calculation of an optimized crystal structure of TbErGa2Pd2, from the Alexandria database.

POSCAR file:
```
TbErGa2Pd2
1.0
4.4974 0.0000 0.0000
-2.2487 3.8949 0.0000
0.0000 0.0000 6.8218
Tb Er Ga Pd
1 1 2 2
Cartesian
0.0000 0.0000 0.0000 Tb
0.0000 0.0000 3.4109 Er
0.0000 2.5966 1.7593 Ga
2.2487 1.2983 5.0625 Ga
0.0000 2.5966 5.0462 Pd
2.2487 1.2983 1.7755 Pd
```

As for the formation energy: -0.861 eV/atom.



The following is a GGA-PBE calculation of an optimized crystal structure of BeSiSb, from the Alexandria database.

POSCAR file:
```
BeSiSb
1.0
3.8920 0.0000 0.0000
1.9379 3.5644 0.0000
1.8036 0.8905 9.0181
Be Si Sb
2 2 2
Cartesian
0.0000 0.0000 0.0000 Be
3.7489 3.0590 7.4631 Be
5.6900 3.2541 8.9397 Si
3.8907 1.1106 2.0804 Si
3.8831 3.4737 3.3888 Sb
5.6979 1.8184 6.5534 Sb
```

As for the energy above the most stable polymorph in this dataset: 67 meV/atom. The calculation puts the formation energy (no corrections) at 25 kJ/mol of atoms.



The following is a GGA-PBE calculation of an optimized crystal structure of Ta2CrHAu, from the Alexandria database.

POSCAR file:
```
Ta2CrHAu
1.0
4.1678 0.0000 0.0000
0.0000 4.1678 0.0000
0.0000 0.0000 3.8633
Ta Cr H Au
2 1 1 1
Cartesian
0.0000 2.0839 0.0000 Ta
2.0839 0.0000 0.0000 Ta
0.0000 0.0000 1.9317 Cr
0.0000 0.0000 0.0000 H
2.0839 2.0839 1.9317 Au
```

The calculated total energy is -7.96 eV/atom.



The following is a GGA-PBE calculation of an optimized crystal structure of TlCuC, from the Alexandria database.

POSCAR file:
```
TlCuC
1.0
1.8905 -3.9729 0.0000
1.8905 3.9729 0.0000
0.0000 0.0000 7.1407
Tl Cu C
2 2 2
Cartesian
0.0000 0.0000 0.0000 Tl
0.0000 0.0000 3.5704 Tl
1.8905 1.5851 5.3556 Cu
1.8905 -1.5851 1.7852 Cu
1.8905 2.5409 1.7852 C
1.8905 -2.5409 5.3556 C
```

As for the formation energy: 1.090 eV/atom.



The following is a GGA-PBE calculation of an optimized crystal structure of MoPd3Pt12, from the Alexandria database.

POSCAR file:
```
MoPd3Pt12
1.0
3.9571 0.0000 0.0000
0.0000 3.9571 0.0000
0.0000 0.0000 15.8873
Mo Pd Pt
1 3 12
Cartesian
0.0000 0.0000 0.0000 Mo
0.0000 0.0000 3.9599 Pd
0.0000 0.0000 7.9436 Pd
0.0000 0.0000 11.9274 Pd
0.0000 1.9785 1.9227 Pt
0.0000 1.9785 5.9552 Pt
0.0000 1.9785 9.9321 Pt
0.0000 1.9785 13.9646 Pt
1.9785 0.0000 1.9227 Pt
1.9785 0.0000 5.9552 Pt
1.9785 0.0000 9.9321 Pt
1.9785 0.0000 13.9646 Pt
1.9785 1.9785 0.0000 Pt
1.9785 1.9785 3.9574 Pt
1.9785 1.9785 7.9436 Pt
1.9785 1.9785 11.9299 Pt
```

As for the formation energy: -0.109 eV/atom.